Al2OsW | Alexandria via LeMat-Bulk | PBEsol | relaxed; Fermi-level density of states = 0.762 states/eV/atom; offset from the most stable computed form = 0.664 eV/atom; formation energy = 0.62 eV per atom
1.0
-3.452 3.452 2.651
3.452 -3.452 2.651
3.452 3.452 -2.651
Al Os W
4 2 2
Direct
0.104 0.625 0.979
0.375 0.354 0.479
0.646 0.125 0.021
0.875 0.896 0.521
0.000 0.000 0.000
0.750 0.250 0.500
0.250 0.750 0.500
0.500 0.500 0.000